Record 1
Here is AsIr2Se at its PBEsol-relaxed geometry from the Alexandria database. Energies are from meta-GGA SCAN.

Cell: 2.7353 3.5560 7.3944 Å, 90.00 99.98 90.00°
Atoms (fractional coordinates):
As  0.0000  0.0000  0.0000
Ir  0.1852  0.0000  0.3920
Ir  0.5849  0.5000  0.1778
Se  0.2911  0.5000  0.6166

Computed properties:
Total magnetization in μB/atom: 0.00
Total DFT energy (no corrections) in eV for the cell shown: -182.49
SG: Pm
Uncorrected formation energy in eV per atom: -0.006

***

Record 2
Here is NaCd2Sb2 at its PBEsol-relaxed geometry from the Alexandria database. Energies are from meta-GGA SCAN.

Cell: 4.4306 4.4306 14.0681 Å, 90.00 90.00 90.00°
Atoms (fractional coordinates):
Na  0.0000  0.0000  0.0000
Na  0.5000  0.5000  0.5000
Cd  0.0000  0.5000  0.2500
Cd  0.0000  0.5000  0.7500
Cd  0.5000  0.0000  0.2500
Cd  0.5000  0.0000  0.7500
Sb  0.0000  0.0000  0.3857
Sb  0.0000  0.0000  0.6143
Sb  0.5000  0.5000  0.1143
Sb  0.5000  0.5000  0.8857

Computed properties:
Total magnetization in μB/atom: 0.00
Total DFT energy (no corrections) in eV for the cell shown: -280.84
SG: I4/mmm
Uncorrected formation energy in eV per atom: -0.171

***

Record 3
Here is OsSe2NCl at its PBEsol-relaxed geometry from the Alexandria database. Energies are from meta-GGA SCAN.

Cell: 5.0263 5.0263 3.6588 Å, 90.00 90.00 90.00°
Atoms (fractional coordinates):
Os  0.0000  0.0000  0.0000
Se  0.0000  0.5000  0.0000
Se  0.5000  0.0000  0.0000
N  0.0000  0.0000  0.5000
Cl  0.5000  0.5000  0.5000

Computed properties:
Total magnetization in μB/atom: 0.00
Total DFT energy (no corrections) in eV for the cell shown: -126.37
SG: P4/mmm
Uncorrected formation energy in eV per atom: 0.586

***

Record 4
Here is FeIrW2 at its PBEsol-relaxed geometry from the Alexandria database. Energies are from meta-GGA SCAN.

Cell: 8.8893 2.7203 4.7225 Å, 90.00 99.70 90.00°
Atoms (fractional coordinates):
Fe  0.0000  0.0000  0.0000
Fe  0.5000  0.5000  0.0000
Ir  0.2565  0.0000  0.7284
Ir  0.7565  0.5000  0.7284
W  0.0066  0.5000  0.5061
W  0.2449  0.5000  0.2056
W  0.5066  0.0000  0.5061
W  0.7449  0.0000  0.2056

Computed properties:
Total magnetization in μB/atom: 0.48
Total DFT energy (no corrections) in eV for the cell shown: -457.01
Calculated formation energy in kJ/mol of formula units: 9
SG: Cm

***

Record 5
Here is TcSe2Cl at its PBEsol-relaxed geometry from the Alexandria database. Energies are from meta-GGA SCAN.

Cell: 2.7904 2.7904 34.3048 Å, 90.00 90.00 120.00°
Atoms (fractional coordinates):
Tc  0.0000  0.0000  0.0000
Tc  0.3333  0.6667  0.6667
Tc  0.6667  0.3333  0.3333
Se  0.0000  0.0000  0.0714
Se  0.0000  0.0000  0.9286
Se  0.3333  0.6667  0.5952
Se  0.3333  0.6667  0.7381
Se  0.6667  0.3333  0.2619
Se  0.6667  0.3333  0.4048
Cl  0.0000  0.0000  0.5000
Cl  0.3333  0.6667  0.1667
Cl  0.6667  0.3333  0.8333

Computed properties:
Total magnetization in μB/atom: 0.00
Total DFT energy (no corrections) in eV for the cell shown: -243.80
SG: R-3m
Uncorrected formation energy in eV per atom: 0.482

***

Record 6
Here is Ti11H7O24 at its PBEsol-relaxed geometry from the Alexandria database. Energies are from meta-GGA SCAN.

Cell: 9.6618 2.9699 14.6516 Å, 90.00 91.43 90.00°
Atoms (fractional coordinates):
Ti  0.0000  0.0000  0.0000
Ti  0.0009  0.0000  0.6592
Ti  0.0037  0.0000  0.3336
Ti  0.2190  0.5000  0.8381
Ti  0.2231  0.5000  0.1677
Ti  0.2264  0.5000  0.5047
Ti  0.5017  0.0000  0.8596
Ti  0.5112  0.0000  0.1715
Ti  0.6881  0.5000  0.6803
Ti  0.7087  0.5000  0.3455
Ti  0.7355  0.5000  0.0168
H  0.2442  0.5000  0.6610
H  0.3476  0.0000  0.7024
H  0.4278  0.0000  0.4346
H  0.4526  0.5000  0.3140
H  0.8396  0.0000  0.8096
H  0.8617  0.5000  0.5352
H  0.8930  0.5000  0.1938
O  0.0785  0.5000  0.4005
O  0.0863  0.5000  0.0724
O  0.0923  0.5000  0.7274
O  0.1042  0.0000  0.5570
O  0.1337  0.0000  0.9003
O  0.1408  0.0000  0.2389
O  0.3203  0.5000  0.6163
O  0.3217  0.0000  0.1148
O  0.3270  0.0000  0.4493
O  0.3282  0.0000  0.7694
O  0.3939  0.5000  0.9079
O  0.4139  0.5000  0.2461
O  0.5512  0.5000  0.3965
O  0.5796  0.5000  0.1019
O  0.5819  0.5000  0.7850
O  0.6240  0.0000  0.6220
O  0.6467  0.0000  0.9455
O  0.6536  0.0000  0.2586
O  0.8228  0.0000  0.3983
O  0.8247  0.0000  0.7428
O  0.8325  0.0000  0.0788
O  0.8718  0.5000  0.6023
O  0.8982  0.5000  0.9383
O  0.9034  0.5000  0.2608

Computed properties:
Total magnetization in μB/atom: 0.07
Total DFT energy (no corrections) in eV for the cell shown: -462.10
SG: Pm

***

Record 7
Here is Y2Si2Pt at its PBEsol-relaxed geometry from the Alexandria database. Energies are from meta-GGA SCAN.

Cell: 6.4279 6.4279 4.5092 Å, 90.00 90.00 90.00°
Atoms (fractional coordinates):
Y  0.1738  0.3262  0.0000
Y  0.3262  0.8262  0.0000
Y  0.6738  0.1738  0.0000
Y  0.8262  0.6738  0.0000
Si  0.1344  0.6344  0.5000
Si  0.3656  0.1344  0.5000
Si  0.6344  0.8656  0.5000
Si  0.8656  0.3656  0.5000
Pt  0.0000  0.0000  0.5000
Pt  0.5000  0.5000  0.5000

Computed properties:
Total magnetization in μB/atom: 0.00
Total DFT energy (no corrections) in eV for the cell shown: -303.31
SG: P4/mbm
Uncorrected formation energy in eV per atom: -1.149

***

Record 8
Here is La2TlOsI at its PBEsol-relaxed geometry from the Alexandria database. Energies are from meta-GGA SCAN.

Cell: 5.7669 5.7669 5.5620 Å, 90.00 90.00 90.00°
Atoms (fractional coordinates):
La  0.0000  0.5000  0.0000
La  0.5000  0.0000  0.0000
Tl  0.0000  0.0000  0.5000
Os  0.5000  0.5000  0.5000
I  0.0000  0.0000  0.0000

Computed properties:
Total magnetization in μB/atom: 0.36
Total DFT energy (no corrections) in eV for the cell shown: -261.25
SG: P4/mmm
Uncorrected formation energy in eV per atom: 1.187

***

Record 9
Here is Sc2Be at its PBEsol-relaxed geometry from the Alexandria database. Energies are from meta-GGA SCAN.

Cell: 3.1566 3.1566 11.0505 Å, 90.00 90.00 90.00°
Atoms (fractional coordinates):
Sc  0.0000  0.0000  0.1370
Sc  0.0000  0.0000  0.8630
Sc  0.5000  0.5000  0.3630
Sc  0.5000  0.5000  0.6370
Be  0.0000  0.0000  0.5000
Be  0.5000  0.5000  0.0000

Computed properties:
Total magnetization in μB/atom: 0.00
Total DFT energy (no corrections) in eV for the cell shown: -65.81
Calculated formation energy in kJ/mol of formula units: -7
SG: I4/mmm

***

Record 10
Here is TbErO3 at its PBEsol-relaxed geometry from the Alexandria database. Energies are from meta-GGA SCAN.

Cell: 4.1965 4.1965 4.1965 Å, 90.00 90.00 90.00°
Atoms (fractional coordinates):
Tb  0.0000  0.0000  0.0000
Er  0.5000  0.5000  0.5000
O  0.0000  0.5000  0.5000
O  0.5000  0.0000  0.5000
O  0.5000  0.5000  0.0000

Computed properties:
Total magnetization in μB/atom: 0.00
Total DFT energy (no corrections) in eV for the cell shown: -131.15
SG: Pm-3m
Uncorrected formation energy in eV per atom: -3.070

***

Record 11
Here is Cr at its PBEsol-relaxed geometry from the Alexandria database. Energies are from meta-GGA SCAN.

Cell: 2.8119 2.8119 2.8119 Å, 90.00 90.00 90.00°
Atoms (fractional coordinates):
Cr  0.0000  0.0000  0.0000
Cr  0.5000  0.5000  0.5000

Computed properties:
Total magnetization in μB/atom: 0.00
Total DFT energy (no corrections) in eV for the cell shown: -36.77
Calculated formation energy in kJ/mol of formula units: 0
SG: Im-3m

***

Record 12
Here is Sr3LaMn4O10 at its PBEsol-relaxed geometry from the Alexandria database. Energies are from meta-GGA SCAN.

Cell: 5.4419 3.8356 10.7036 Å, 90.00 90.05 90.00°
Atoms (fractional coordinates):
Sr  0.0000  0.0000  0.0000
Sr  0.0741  0.0000  0.5053
Sr  0.5008  0.0000  0.7712
La  0.5745  0.0000  0.2692
Mn  0.0202  0.5000  0.7595
Mn  0.0618  0.5000  0.2534
Mn  0.5122  0.5000  0.0181
Mn  0.5536  0.5000  0.5159
O  0.0835  0.0000  0.2407
O  0.2518  0.5000  0.9042
O  0.2869  0.5000  0.6353
O  0.3388  0.5000  0.3608
O  0.4935  0.0000  0.0399
O  0.5769  0.0000  0.5243
O  0.7520  0.5000  0.8710
O  0.7736  0.5000  0.1452
O  0.8257  0.5000  0.4037
O  0.9876  0.0000  0.7392

Computed properties:
Total magnetization in μB/atom: 0.47
Total DFT energy (no corrections) in eV for the cell shown: -295.06
SG: Pm
Uncorrected formation energy in eV per atom: -2.766